## Nd5ZrN6 (PBE)

Data for a geometry-optimized Nd5ZrN6 structure.

Output
- calculated total energy (eV per atom) = -8.284
- magnetization (μB per formula unit) = 0.00
- E_form (uncorrected) (eV/atom) = -1.422

The structure in CIF format:
```
data_Nd5ZrN6
_space_group_name_H-M_alt 'C 1 2/m 1'
_space_group_IT_number 12
_cell_length_a 6.203
_cell_length_b 10.736
_cell_length_c 6.191
_cell_angle_alpha 90.00
_cell_angle_beta 109.46
_cell_angle_gamma 90.00
loop_
_space_group_symop_operation_xyz
'x,y,z'
'-x,-y,-z'
'-x,y,-z'
'x,-y,z'
'x+1/2,y+1/2,z'
'-x+1/2,-y+1/2,-z'
'-x+1/2,y+1/2,-z'
'x+1/2,-y+1/2,z'
loop_
_atom_site_label
_atom_site_type_symbol
_atom_site_fract_x
_atom_site_fract_y
_atom_site_fract_z
Nd1 Nd 0.000 0.000 0.000
Nd2 Nd 0.000 0.167 0.500
Nd3 Nd 0.000 0.335 0.000
Zr1 Zr 0.000 0.500 0.500
N1 N 0.232 0.500 0.260
N2 N 0.233 0.345 0.735
```